No. 1
The following is a DFT calculation (PBE) of a relaxed Hf3Zr5 crystal.

Lattice parameters (Å, degrees): 3.218 5.119 11.184 90.00 90.00 90.00
Fractional coordinates of all 8 atoms:
1 Hf 0.500 0.000 0.709
2 Hf 0.500 0.500 0.544
3 Hf 0.000 0.500 0.788
4 Zr 0.000 0.000 0.955
5 Zr 0.500 0.000 0.208
6 Zr 0.000 0.000 0.462
7 Zr 0.500 0.500 0.040
8 Zr 0.000 0.500 0.294

Results
Formation energy from the elements = -1 meV/atom
D(E_F) = 0.753 states/eV per atom
Total magnetization = 0.00 μB per cell

***

No. 2
The following is a DFT calculation (PBE) of a relaxed Nd4MnBr5 crystal.

Lattice parameters (Å, degrees): 4.099 9.254 9.502 104.55 102.46 90.00
Fractional coordinates of all 10 atoms:
1 Nd 0.638 0.072 0.276
2 Nd 0.001 0.235 0.002
3 Nd 0.362 0.928 0.724
4 Nd 0.999 0.765 0.998
5 Mn 0.500 0.000 0.000
6 Br 0.168 0.320 0.335
7 Br 0.169 0.851 0.338
8 Br 0.831 0.149 0.662
9 Br 0.500 0.500 0.000
10 Br 0.832 0.680 0.665

Results
D(E_F) = 0.500 states/eV per atom
Formation energy from raw total energies = -1.2330 eV per atom
Total magnetization = 0.64 μB per cell